The following is a PBE calculation of crystalline MgCdCl2 at its relaxed geometry, from the Alexandria database.

Results
total magnetization = 0.00 μB per formula unit
formation energy without anion corrections = -1126 meV per atom
relative energy among the computed polymorphs = 0.139 eV/atom
total energy = -2.677 eV per atom

abc: 7.535 7.535 10.123
angles: 90.00 90.00 90.00
Space group I-42d (No. 122)
Symmetry-distinct sites (fractional):
Mg 0.000 0.000 0.000
Cd 0.000 0.000 0.500
Cl 0.089 0.250 0.125

The following is a PBE calculation of crystalline InTc2W at its relaxed geometry, from the Alexandria database.

Results
ΔH_f (0 K) = 0.300 eV/atom
total magnetization = 0.00 μB per formula unit
total energy = -8.806 eV per atom

abc: 2.877 4.110 5.759
angles: 90.00 101.17 90.00
Space group P2/m (No. 10)
Symmetry-distinct sites (fractional):
In 0.000 0.000 0.000
Tc 0.400 0.500 0.726
W 0.000 0.000 0.500

The following is a PBE calculation of crystalline TbUPa2C4 at its relaxed geometry, from the Alexandria database.

Results
ΔH_f (0 K) = -0.319 eV/atom
total magnetization = 0.02 μB per formula unit
total energy = -9.295 eV per atom

abc: 6.174 3.586 6.201
angles: 90.00 109.66 90.00
Space group P2/m (No. 10)
Symmetry-distinct sites (fractional):
Tb 0.000 0.000 0.000
U 0.500 0.500 0.000
Pa 0.000 0.500 0.500
Pa 0.500 0.000 0.500
C 0.265 0.000 0.756
C 0.271 0.500 0.257

The following is a PBE calculation of crystalline Pr5YEr2 at its relaxed geometry, from the Alexandria database.

Results
ΔH_f (0 K) = 0.117 eV/atom
total magnetization = 0.47 μB per formula unit
relative energy among the computed polymorphs = 0.000 eV/atom
total energy = -4.819 eV per atom

abc: 9.317 9.317 12.782
angles: 90.00 90.00 90.00
Space group I4/mcm (No. 140)
Symmetry-distinct sites (fractional):
Pr 0.000 0.000 0.000
Pr 0.150 0.350 0.164
Y 0.000 0.000 0.250
Er 0.146 0.354 0.500